## MnMo3O (PBE with a Hubbard U)

Data for crystalline MnMo3O at its relaxed geometry.

Properties
**Total magnetization**: 0.06 μB/atom
**Total DFT energy (no corrections)**: -30.19 eV per formula unit
**Density of states at the Fermi level**: 0.674 states/eV/atom
**Space-group type**: Pm-3m

a = 4.2385 Å, b = 4.2385 Å, c = 4.2385 Å
α = 90.00°, β = 90.00°, γ = 90.00°
Last column: nearest neighbours and their distance in Å.
Atoms (fractional coordinates):
1 Mo 0.0000 0.5000 0.0000  2 O 2.12
2 Mo 0.0000 0.0000 0.5000  2 O 2.12
3 Mo 0.5000 0.0000 0.0000  2 O 2.12
4 Mn 0.5000 0.5000 0.5000  12 Mo 3.00
5 O 0.0000 0.0000 0.0000  6 Mo 2.12